*1*
Compound: Zn7Cu
Source: Alexandria via LeMat-Bulk
Functional: GGA-PBE
Structure: optimized geometry

Geometry as POSCAR:
```
Zn7Cu
1.0
-2.662 -4.114 -2.438
-2.072 -4.080 3.003
-5.419 -0.484 0.591
Zn Cu
7 1
direct
0.000 0.500 0.000 Zn
0.500 0.000 0.000 Zn
0.000 0.500 0.500 Zn
0.000 0.000 0.500 Zn
0.500 0.500 0.500 Zn
0.500 0.000 0.500 Zn
0.500 0.500 0.000 Zn
0.000 0.000 0.000 Cu
```

Output
volume	14.49	Å³/atom



*2*
Compound: Zn7Cu
Source: Alexandria via LeMat-Bulk
Functional: GGA-PBE
Structure: optimized geometry

Geometry as POSCAR:
```
Zn7Cu
1.0
4.601 0.000 0.000
0.000 4.660 -2.690
0.000 0.000 5.381
Zn Cu
7 1
direct
0.500 0.329 0.165 Zn
0.000 0.500 0.500 Zn
0.000 0.500 0.001 Zn
0.500 0.333 0.667 Zn
0.500 0.835 0.165 Zn
0.500 0.835 0.671 Zn
0.000 0.999 0.500 Zn
0.000 0.000 0.000 Cu
```

Output
volume	14.42	Å³/atom



Which structure is the most stable? The one labeled *2*.



*1*
Compound: Zn6Cu
Source: Alexandria via LeMat-Bulk
Functional: GGA-PBE
Structure: optimized geometry

Geometry as POSCAR:
```
Zn6Cu
1.0
-1.829 -4.312 1.609
4.583 -1.547 1.065
-0.767 3.404 8.249
Zn Cu
12 2
direct
0.321 0.179 0.639 Zn
0.179 0.321 0.361 Zn
0.500 0.500 0.863 Zn
0.500 0.500 0.137 Zn
0.321 0.821 0.361 Zn
0.679 0.821 0.639 Zn
0.679 0.179 0.361 Zn
0.000 0.000 0.863 Zn
0.821 0.679 0.361 Zn
0.179 0.679 0.639 Zn
0.821 0.321 0.639 Zn
0.000 0.000 0.137 Zn
0.000 0.500 0.000 Cu
0.500 0.000 0.000 Cu
```

Output
volume	15.69	Å³/atom



*2*
Compound: Zn6Cu
Source: Alexandria via LeMat-Bulk
Functional: GGA-PBE
Structure: optimized geometry

Geometry as POSCAR:
```
Zn6Cu
1.0
6.035 0.000 0.000
-2.012 5.690 0.000
-2.012 -2.845 4.927
Zn Cu
6 1
direct
0.500 0.750 0.250 Zn
0.500 0.250 0.750 Zn
0.750 0.500 0.250 Zn
0.250 0.500 0.750 Zn
0.250 0.750 0.500 Zn
0.750 0.250 0.500 Zn
0.000 0.000 0.000 Cu
```

Output
volume	24.17	Å³/atom



Which structure is the most stable? The one labeled *1*.



*1*
Compound: ZrZn3Cu
Source: Alexandria via LeMat-Bulk
Functional: GGA-PBE
Structure: optimized geometry

Geometry as POSCAR:
```
ZrZn3Cu
1.0
-2.442 1.160 -4.492
-4.639 -0.541 2.382
0.063 5.084 1.278
Zr Zn Cu
1 3 1
direct
0.000 0.000 0.000 Zr
0.000 0.500 0.000 Zn
0.500 0.000 0.000 Zn
0.000 0.000 0.500 Zn
0.500 0.500 0.500 Cu
```

Output
volume	28.81	Å³/atom



*2*
Compound: ZrZn3Cu
Source: Alexandria via LeMat-Bulk
Functional: GGA-PBE
Structure: optimized geometry

Geometry as POSCAR:
```
ZrZn3Cu
1.0
4.117 0.000 0.000
0.000 6.536 1.658
0.000 0.455 5.954
Zn Cu Zr
6 2 2
direct
0.381 0.109 0.250 Zn
0.381 0.961 0.912 Zn
0.381 0.367 0.762 Zn
0.881 0.307 0.044 Zn
0.881 0.713 0.894 Zn
0.881 0.566 0.556 Zn
0.381 0.784 0.592 Cu
0.881 0.891 0.214 Cu
0.881 0.140 0.568 Zr
0.381 0.535 0.238 Zr
```

Output
volume	15.71	Å³/atom



*3*
Compound: ZrZn3Cu
Source: Alexandria via LeMat-Bulk
Functional: GGA-PBE
Structure: optimized geometry

Geometry as POSCAR:
```
ZrZn3Cu
1.0
4.462 0.000 0.000
0.000 4.462 0.000
0.000 0.000 4.462
Zn Cu Zr
3 1 1
direct
0.000 0.000 0.500 Zn
0.000 0.500 0.000 Zn
0.500 0.000 0.000 Zn
0.000 0.000 0.000 Cu
0.500 0.500 0.500 Zr
```

Output
volume	17.76	Å³/atom



Which structure is the most stable? The one labeled *2*.



*1*
Compound: Zr3Zn2Cu4
Source: Alexandria via LeMat-Bulk
Functional: GGA-PBE
Structure: optimized geometry

Geometry as POSCAR:
```
Zr3Zn2Cu4
1.0
4.525 0.000 0.000
-2.263 3.903 0.278
0.000 -0.567 8.212
Zn Cu Zr
2 4 3
direct
0.334 0.667 0.230 Zn
0.666 0.333 0.770 Zn
0.666 0.333 0.075 Cu
0.999 0.999 0.655 Cu
0.001 0.001 0.345 Cu
0.334 0.667 0.925 Cu
0.333 0.666 0.599 Zr
0.000 0.000 0.000 Zr
0.667 0.334 0.401 Zr
```

Output
volume	16.19	Å³/atom



*2*
Compound: Zr3Zn2Cu4
Source: Alexandria via LeMat-Bulk
Functional: GGA-PBE
Structure: optimized geometry

Geometry as POSCAR:
```
Zr3Zn2Cu4
1.0
-2.283 -4.991 1.279
7.014 -2.982 0.882
3.426 0.191 6.862
Zn Cu Zr
4 8 6
direct
0.500 0.831 0.503 Zn
0.000 0.497 0.169 Zn
0.500 0.169 0.497 Zn
0.000 0.503 0.831 Zn
0.000 0.831 0.169 Cu
0.500 0.499 0.166 Cu
0.000 0.834 0.501 Cu
0.000 0.169 0.831 Cu
0.500 0.501 0.834 Cu
0.000 0.166 0.499 Cu
0.500 0.169 0.831 Cu
0.500 0.831 0.169 Cu
0.750 0.500 0.500 Zr
0.250 0.161 0.161 Zr
0.250 0.839 0.839 Zr
0.750 0.161 0.161 Zr
0.750 0.839 0.839 Zr
0.250 0.500 0.500 Zr
```

Output
volume	15.94	Å³/atom



Which structure is the most stable? The one labeled *2*.